[1]
First-principles (PBE) data for crystalline CsBeSi2I at its relaxed geometry, as listed in the Alexandria database. Values from VASP.

SG	P4/mmm (123)
ρ	2.15	g/cm³
formation energy from raw total energies	2.095	eV/atom
calculated volume	251	Å³ per cell
electronic total energy	-6.50	eV/cell

```
&SYSTEM
  ibrav = 0, nat = 5, ntyp = 4
/
ATOMIC_SPECIES
Cs 132.91 Cs.upf
I 126.90 I.upf
Si 28.09 Si.upf
Be 9.01 Be.upf
CELL_PARAMETERS angstrom
6.2835 0.0000 0.0000
0.0000 6.2835 0.0000
0.0000 0.0000 6.3637
ATOMIC_POSITIONS crystal
Cs 0.0000 0.0000 0.0000
I 0.5000 0.5000 0.5000
Si 0.0000 0.5000 0.0000
Si 0.5000 0.0000 0.0000
Be 0.0000 0.0000 0.5000
```

***

[2]
First-principles (PBE) data for crystalline AcPm4S6 at its relaxed geometry, as listed in the Alexandria database. Values from VASP.

SG	Cmcm (63)
ρ	6.03	g/cm³
formation energy from raw total energies	-2.080	eV/atom
calculated volume	551	Å³ per cell
electronic total energy	-141.52	eV/cell

```
&SYSTEM
  ibrav = 0, nat = 22, ntyp = 3
/
ATOMIC_SPECIES
Ac 227.00 Ac.upf
Pm 145.00 Pm.upf
S 32.06 S.upf
CELL_PARAMETERS angstrom
4.0439 0.0000 0.0000
-2.0219 6.6510 0.0000
0.0000 0.0000 20.4692
ATOMIC_POSITIONS crystal
Ac 0.6581 0.3162 0.2500
Ac 0.3419 0.6838 0.7500
Pm 0.8607 0.7214 0.5397
Pm 0.4066 0.8131 0.1255
Pm 0.1393 0.2786 0.4603
Pm 0.5934 0.1869 0.8745
Pm 0.8607 0.7214 0.9603
Pm 0.1393 0.2786 0.0397
Pm 0.5934 0.1869 0.6255
Pm 0.4066 0.8131 0.3745
S 0.5000 0.0000 0.0000
S 0.5000 0.0000 0.5000
S 0.0461 0.0921 0.3353
S 0.9539 0.9079 0.6647
S 0.9539 0.9079 0.8353
S 0.0461 0.0921 0.1647
S 0.7670 0.5340 0.4095
S 0.2330 0.4660 0.5905
S 0.2330 0.4660 0.9095
S 0.7670 0.5340 0.0905
S 0.3192 0.6384 0.2500
S 0.6808 0.3616 0.7500
```

***

[3]
First-principles (PBE) data for crystalline DyZn3Au2 at its relaxed geometry, as listed in the Alexandria database. Values from VASP.

SG	C2/m (12)
ρ	11.14	g/cm³
calculated volume	224	Å³ per cell
electronic total energy	-35.23	eV/cell

```
&SYSTEM
  ibrav = 0, nat = 12, ntyp = 3
/
ATOMIC_SPECIES
Dy 162.50 Dy.upf
Zn 65.41 Zn.upf
Au 196.97 Au.upf
CELL_PARAMETERS angstrom
4.2072 0.0000 0.0000
-2.1036 7.0232 -0.4126
0.0000 -3.5556 7.8044
ATOMIC_POSITIONS crystal
Dy 0.8626 0.7252 0.9853
Dy 0.1374 0.2748 0.0147
Zn 0.2928 0.5857 0.4764
Zn 0.9460 0.8919 0.6057
Zn 0.5930 0.1860 0.6938
Zn 0.4070 0.8140 0.3062
Zn 0.0540 0.1081 0.3943
Zn 0.7072 0.4143 0.5236
Au 0.4516 0.9032 0.8137
Au 0.5484 0.0968 0.1863
Au 0.7800 0.5601 0.2598
Au 0.2200 0.4399 0.7402
```

***

[4]
First-principles (PBE) data for crystalline Ce2ThCo2 at its relaxed geometry, as listed in the Alexandria database. Values from VASP.

SG	P-1 (2)
ρ	9.78	g/cm³
calculated volume	214	Å³ per cell
electronic total energy	-69.04	eV/cell

```
&SYSTEM
  ibrav = 0, nat = 10, ntyp = 3
/
ATOMIC_SPECIES
Ce 140.12 Ce.upf
Th 232.04 Th.upf
Co 58.93 Co.upf
CELL_PARAMETERS angstrom
-1.5887 -0.2685 -4.3697
4.3560 -1.9623 -3.8306
-2.7342 -7.4821 1.2665
ATOMIC_POSITIONS crystal
Ce 0.9716 0.5605 0.3284
Ce 0.3557 0.7626 0.9254
Ce 0.0284 0.4395 0.6716
Ce 0.6443 0.2374 0.0746
Th 0.7234 0.0382 0.6736
Th 0.2766 0.9618 0.3264
Co 0.3873 0.7200 0.5703
Co 0.1345 0.2754 0.0124
Co 0.6127 0.2800 0.4297
Co 0.8655 0.7246 0.9876
```

***

[5]
First-principles (PBE) data for crystalline CdNiP2 at its relaxed geometry, as listed in the Alexandria database. Values from VASP.

SG	P2/m (10)
ρ	5.57	g/cm³
calculated volume	69	Å³ per cell
electronic total energy	-17.76	eV/cell

```
&SYSTEM
  ibrav = 0, nat = 4, ntyp = 3
/
ATOMIC_SPECIES
Cd 112.41 Cd.upf
Ni 58.69 Ni.upf
P 30.97 P.upf
CELL_PARAMETERS angstrom
-2.2400 -2.7494 -0.6978
2.1411 -0.9577 -3.0996
3.4294 -3.2673 1.8653
ATOMIC_POSITIONS crystal
Cd 0.5000 0.2500 0.2500
Ni 0.5000 0.7500 0.7500
P 0.0000 0.9953 0.8998
P 0.0000 0.5047 0.6002
```

***

[6]
First-principles (PBE) data for crystalline Pm5Nd3Dy12 at its relaxed geometry, as listed in the Alexandria database. Values from VASP.

SG	Ia-3d (230)
ρ	6.19	g/cm³
calculated volume	3334	Å³ per cell
electronic total energy	-290.40	eV/cell

```
&SYSTEM
  ibrav = 0, nat = 80, ntyp = 3
/
ATOMIC_SPECIES
Nd 144.24 Nd.upf
Pm 145.00 Pm.upf
Dy 162.50 Dy.upf
CELL_PARAMETERS angstrom
-9.2335 9.1654 -9.8214
-9.1605 -5.9008 12.1239
12.0216 9.0949 6.2039
ATOMIC_POSITIONS crystal
Nd 0.7500 0.3750 0.1250
Nd 0.8750 0.7500 0.1250
Nd 0.3750 0.7500 0.6250
Nd 0.2500 0.1250 0.3750
Nd 0.8750 0.1250 0.2500
Nd 0.3750 0.6250 0.2500
Nd 0.6250 0.3750 0.7500
Nd 0.1250 0.8750 0.7500
Nd 0.7500 0.8750 0.6250
Nd 0.6250 0.2500 0.3750
Nd 0.1250 0.2500 0.8750
Nd 0.2500 0.6250 0.8750
Pm 0.1250 0.3750 0.2500
Pm 0.0000 0.5000 0.0000
Pm 0.0000 0.0000 0.0000
Pm 0.3750 0.2500 0.1250
Pm 0.5000 0.0000 0.5000
Pm 0.5000 0.5000 0.0000
Pm 0.1250 0.7500 0.3750
Pm 0.7500 0.1250 0.8750
Pm 0.7500 0.6250 0.3750
Pm 0.3750 0.1250 0.7500
Pm 0.6250 0.8750 0.2500
Pm 0.5000 0.5000 0.5000
Pm 0.5000 0.0000 0.0000
Pm 0.0000 0.0000 0.5000
Pm 0.2500 0.3750 0.6250
Pm 0.2500 0.8750 0.1250
Pm 0.0000 0.5000 0.5000
Pm 0.8750 0.2500 0.6250
Pm 0.6250 0.7500 0.8750
Pm 0.8750 0.6250 0.7500
Dy 0.7278 0.1410 0.0759
Dy 0.3480 0.5759 0.4349
Dy 0.9241 0.3590 0.2722
Dy 0.5759 0.2278 0.1410
Dy 0.5869 0.7278 0.6520
Dy 0.9241 0.5651 0.1520
Dy 0.3480 0.7722 0.4131
Dy 0.0651 0.9131 0.1410
Dy 0.5651 0.9241 0.6520
Dy 0.7278 0.5869 0.1520
Dy 0.7722 0.4241 0.3590
Dy 0.8480 0.9349 0.0759
Dy 0.1410 0.7278 0.5759
Dy 0.3590 0.4349 0.0869
Dy 0.0869 0.9349 0.3590
Dy 0.4131 0.1410 0.5651
Dy 0.0869 0.1520 0.2278
Dy 0.4241 0.6520 0.0651
Dy 0.8480 0.9131 0.2722
Dy 0.1410 0.4131 0.0651
Dy 0.3590 0.9241 0.7722
Dy 0.5651 0.6410 0.4131
Dy 0.9349 0.8480 0.5759
Dy 0.7722 0.3480 0.9131
Dy 0.4349 0.3590 0.5869
Dy 0.0651 0.1520 0.4241
Dy 0.2278 0.6520 0.0869
Dy 0.1520 0.0869 0.7278
Dy 0.6410 0.0759 0.2278
Dy 0.8590 0.5869 0.9349
Dy 0.5759 0.3480 0.9349
Dy 0.5869 0.8590 0.4349
Dy 0.9131 0.8480 0.7722
Dy 0.9131 0.0651 0.6410
Dy 0.8590 0.2722 0.4241
Dy 0.1520 0.0651 0.9241
Dy 0.6410 0.5651 0.9131
Dy 0.4349 0.0759 0.3480
Dy 0.2722 0.4131 0.8480
Dy 0.2278 0.5759 0.6410
Dy 0.9349 0.0869 0.8590
Dy 0.6520 0.2278 0.5869
Dy 0.4241 0.7722 0.8590
Dy 0.0759 0.4349 0.8480
Dy 0.4131 0.2722 0.3480
Dy 0.0759 0.6410 0.7278
Dy 0.6520 0.4241 0.5651
Dy 0.2722 0.8590 0.9241
```

***

> What is the calculated volume in the first record?

251 Å³ per cell